Record 1
Below is an optimized crystal structure of Li2TaAsH, with properties calculated at the GGA-PBE level.

```
Li2TaAsH
1.0
4.499 0.000 0.000
0.000 4.499 0.000
0.000 0.000 4.923
Li Ta As H
2 1 1 1
Direct
0.000 0.500 0.000
0.500 0.000 0.000
0.000 0.000 0.500
0.000 0.000 0.000
0.500 0.500 0.500
```

Computed properties:
Total energy: -20.3 eV per cell
Crystal system: tetragonal
Volume: 99.6 Å³ per cell
Magnetic moment: 0.0 μB per formula unit
Symmetry: P4/mmm
ρ: 4.51 g/cm3



Record 2
Below is an optimized crystal structure of Mn2AlMoCl, with properties calculated at the GGA-PBE level.

```
Mn2AlMoCl
1.0
4.718 0.000 0.000
0.000 4.718 0.000
0.000 0.000 5.138
Mn Al Mo Cl
2 1 1 1
Direct
0.000 0.500 0.000
0.500 0.000 0.000
0.000 0.000 0.500
0.000 0.000 0.000
0.500 0.500 0.500
```

Computed properties:
Total energy: -29.8 eV per cell
Crystal system: tetragonal
Volume: 114.4 Å³ per cell
Magnetic moment: 6.4 μB per formula unit
Symmetry: P4/mmm
E_form (uncorrected): 481 kJ/mol of formula units
ρ: 3.89 g/cm3



Record 3
Below is an optimized crystal structure of KYP2, with properties calculated at the GGA-PBE level.

```
KYP2
1.0
0.000 3.576 3.576
3.576 0.000 3.576
3.576 3.576 0.000
K Y P
1 1 2
Direct
0.000 0.000 0.000
0.500 0.500 0.500
0.250 0.250 0.250
0.750 0.750 0.750
```

Computed properties:
Total energy: -19.7 eV per cell
Crystal system: cubic
Volume: 91.4 Å³ per cell
Magnetic moment: 0.0 μB per formula unit
Symmetry: Fm-3m
Energy above the lowest structure with this stoichiometry: 488 meV per atom
ρ: 3.45 g/cm3



Record 4
Below is an optimized crystal structure of NpNbAs, with properties calculated at the GGA-PBE level.

```
NpNbAs
1.0
4.497 0.000 0.000
-2.249 3.895 0.000
0.000 0.000 3.541
Np Nb As
1 1 1
Direct
0.000 0.000 0.000
0.333 0.667 0.500
0.667 0.333 0.500
```

Computed properties:
Total energy: -27.8 eV per cell
Crystal system: hexagonal
Volume: 62.0 Å³ per cell
Magnetic moment: 3.5 μB per formula unit
Symmetry: P-6m2
ρ: 10.84 g/cm3